DFT (PBE with a Hubbard U) results for a relaxed VInCoF6 crystal.

Cell: 5.436 5.445 5.945 Å, 89.97 89.67 60.50°
Space group P1 (No. 1)
One atom of each set of equivalent atoms:
V1 0.000 0.000 0.000 (multiplicity 1)
In1 0.664 0.665 0.500 (multiplicity 1)
Co1 0.335 0.335 0.000 (multiplicity 1)
F1 0.043 0.282 0.185 (multiplicity 1)
F2 0.044 0.680 0.815 (multiplicity 1)
F3 0.285 0.041 0.814 (multiplicity 1)
F4 0.291 0.680 0.182 (multiplicity 1)
F5 0.679 0.048 0.188 (multiplicity 1)
F6 0.680 0.284 0.814 (multiplicity 1)

Summary:
Its total magnetic moment is 4.99 μB/cell. For the final energy, the calculation gives -5.31 eV per atom. The density of states at the Fermi level comes out at 0.00 states/eV/cell.